A.
! Pm4Bi2C, relaxed, DFT PBE; values from VASP
! **Volume**: 30.424 Å³/atom
! **Crystal system**: monoclinic
! **Size of the total moment**: 0.00 μB per cell
! **Mass density**: 7.875 Mg/m³
&SYSTEM
  ibrav = 0, nat = 14, ntyp = 3
/
ATOMIC_SPECIES
Pm 145.00 Pm.upf
Bi 208.98 Bi.upf
C 12.01 C.upf
ATOMIC_POSITIONS crystal
Pm 0.499 0.497 0.275
Pm 0.116 0.750 0.939
Pm 0.884 0.250 0.061
Pm 0.499 0.003 0.275
Pm 0.927 0.250 0.646
Pm 0.501 0.997 0.725
Pm 0.501 0.503 0.725
Pm 0.073 0.750 0.354
Bi 0.708 0.750 0.045
Bi 0.292 0.250 0.955
Bi 0.207 0.250 0.424
Bi 0.793 0.750 0.576
C 0.277 0.750 0.200
C 0.723 0.250 0.800
CELL_PARAMETERS angstrom
7.120 0.000 -0.194
0.000 6.806 0.000
-2.841 0.000 8.867

B.
! Pm4Bi2C, relaxed, DFT PBE; values from VASP
! **Volume**: 29.532 Å³/atom
! **Crystal system**: tetragonal
! **Size of the total moment**: 0.00 μB per cell
! **Mass density**: 8.113 Mg/m³
&SYSTEM
  ibrav = 0, nat = 7, ntyp = 3
/
ATOMIC_SPECIES
C 12.01 C.upf
Bi 208.98 Bi.upf
Pm 145.00 Pm.upf
ATOMIC_POSITIONS crystal
C 0.000 0.000 0.000
Bi 0.643 0.643 0.714
Bi 0.357 0.357 0.286
Pm 0.845 0.845 0.310
Pm 0.155 0.155 0.690
Pm 0.000 0.500 0.000
Pm 0.500 0.000 0.000
CELL_PARAMETERS angstrom
5.012 0.000 0.000
0.000 5.012 0.000
2.506 2.506 8.231

Decreasing stability: B, A

A.
! Pm4BiC, relaxed, DFT PBE; values from VASP
! **Volume**: 28.903 Å³/atom
! **Crystal system**: orthorhombic
! **Size of the total moment**: 0.00 μB per cell
! **Mass density**: 7.670 Mg/m³
&SYSTEM
  ibrav = 0, nat = 12, ntyp = 3
/
ATOMIC_SPECIES
Pm 145.00 Pm.upf
Bi 208.98 Bi.upf
C 12.01 C.upf
ATOMIC_POSITIONS crystal
Pm 0.910 0.279 0.821
Pm 0.090 0.779 0.179
Pm 0.498 0.025 0.997
Pm 0.502 0.525 0.003
Pm 0.683 0.531 0.366
Pm 0.317 0.031 0.634
Pm 0.680 0.038 0.359
Pm 0.320 0.538 0.641
Bi 0.910 0.779 0.820
Bi 0.090 0.279 0.180
C 0.598 0.781 0.197
C 0.402 0.281 0.803
CELL_PARAMETERS angstrom
-3.682 -0.582 -3.403
4.703 0.085 -5.104
2.763 -9.541 2.387

B.
! Pm4BiC, relaxed, DFT PBE; values from VASP
! **Volume**: 27.856 Å³/atom
! **Crystal system**: monoclinic
! **Size of the total moment**: 0.00 μB per cell
! **Mass density**: 7.958 Mg/m³
&SYSTEM
  ibrav = 0, nat = 12, ntyp = 3
/
ATOMIC_SPECIES
Pm 145.00 Pm.upf
Bi 208.98 Bi.upf
C 12.01 C.upf
ATOMIC_POSITIONS crystal
Pm 0.893 0.408 0.787
Pm 0.047 0.031 0.733
Pm 0.607 0.805 0.787
Pm 0.453 0.236 0.733
Pm 0.547 0.764 0.267
Pm 0.393 0.195 0.213
Pm 0.953 0.969 0.267
Pm 0.107 0.592 0.213
Bi 0.750 0.364 0.273
Bi 0.250 0.636 0.727
C 0.250 0.989 0.021
C 0.750 0.011 0.979
CELL_PARAMETERS angstrom
6.576 -0.474 0.929
1.862 7.278 4.215
-0.005 0.862 7.316

Decreasing stability: A, B

A.
! Pr4BiC, relaxed, DFT PBE; values from VASP
! **Volume**: 29.216 Å³/atom
! **Crystal system**: monoclinic
! **Size of the total moment**: 0.00 μB per cell
! **Mass density**: 7.432 Mg/m³
&SYSTEM
  ibrav = 0, nat = 12, ntyp = 3
/
ATOMIC_SPECIES
Pr 140.91 Pr.upf
Bi 208.98 Bi.upf
C 12.01 C.upf
ATOMIC_POSITIONS crystal
Pr 0.893 0.408 0.790
Pr 0.046 0.030 0.733
Pr 0.607 0.802 0.790
Pr 0.454 0.237 0.733
Pr 0.546 0.763 0.267
Pr 0.393 0.198 0.210
Pr 0.954 0.970 0.267
Pr 0.107 0.592 0.210
Bi 0.750 0.363 0.274
Bi 0.250 0.637 0.726
C 0.250 0.990 0.020
C 0.750 0.010 0.980
CELL_PARAMETERS angstrom
6.689 -0.502 0.934
1.861 7.400 4.280
-0.018 0.885 7.420

B.
! Pr4BiC, relaxed, DFT PBE; values from VASP
! **Volume**: 29.380 Å³/atom
! **Crystal system**: monoclinic
! **Size of the total moment**: 0.00 μB per cell
! **Mass density**: 7.391 Mg/m³
&SYSTEM
  ibrav = 0, nat = 12, ntyp = 3
/
ATOMIC_SPECIES
Pr 140.91 Pr.upf
Bi 208.98 Bi.upf
C 12.01 C.upf
ATOMIC_POSITIONS crystal
Pr 0.490 0.050 0.806
Pr 0.685 0.450 0.194
Pr 0.510 0.950 0.194
Pr 0.315 0.550 0.806
Pr 0.878 0.824 0.624
Pr 0.253 0.676 0.376
Pr 0.122 0.176 0.376
Pr 0.747 0.324 0.624
Bi 0.879 0.750 0.000
Bi 0.121 0.250 0.000
C 0.500 0.000 0.500
C 0.000 0.500 0.500
CELL_PARAMETERS angstrom
-2.670 0.968 5.659
-1.568 -7.429 0.536
8.254 0.558 0.255

Decreasing stability: B, A

A.
! Pr4Bi2C, relaxed, DFT PBE; values from VASP
! **Volume**: 31.026 Å³/atom
! **Crystal system**: tetragonal
! **Size of the total moment**: 0.00 μB per cell
! **Mass density**: 7.597 Mg/m³
&SYSTEM
  ibrav = 0, nat = 7, ntyp = 3
/
ATOMIC_SPECIES
Pr 140.91 Pr.upf
C 12.01 C.upf
Bi 208.98 Bi.upf
ATOMIC_POSITIONS crystal
Pr 0.844 0.844 0.688
Pr 0.156 0.156 0.312
Pr 0.000 0.500 0.000
Pr 0.500 0.000 0.000
C 0.000 0.000 0.000
Bi 0.642 0.642 0.285
Bi 0.358 0.358 0.715
CELL_PARAMETERS angstrom
-2.760 -0.968 -4.174
3.761 -2.927 -1.808
-3.868 -4.710 6.763

B.
! Pr4Bi2C, relaxed, DFT PBE; values from VASP
! **Volume**: 29.618 Å³/atom
! **Crystal system**: monoclinic
! **Size of the total moment**: 0.01 μB per cell
! **Mass density**: 7.958 Mg/m³
&SYSTEM
  ibrav = 0, nat = 7, ntyp = 3
/
ATOMIC_SPECIES
Pr 140.91 Pr.upf
Bi 208.98 Bi.upf
C 12.01 C.upf
ATOMIC_POSITIONS crystal
Pr 0.941 0.204 0.882
Pr 0.059 0.796 0.118
Pr 0.645 0.238 0.290
Pr 0.355 0.762 0.710
Bi 0.658 0.643 0.315
Bi 0.342 0.357 0.685
C 0.000 0.000 0.000
CELL_PARAMETERS angstrom
-4.090 -0.148 0.088
-0.094 -2.394 -8.388
2.347 -3.834 7.400

Decreasing stability: A, B

A.
! Pr6Bi2C, relaxed, DFT PBE; values from VASP
! **Volume**: 30.050 Å³/atom
! **Crystal system**: tetragonal
! **Size of the total moment**: 0.00 μB per cell
! **Mass density**: 7.831 Mg/m³
&SYSTEM
  ibrav = 0, nat = 18, ntyp = 3
/
ATOMIC_SPECIES
Pr 140.91 Pr.upf
Bi 208.98 Bi.upf
C 12.01 C.upf
ATOMIC_POSITIONS crystal
Pr 0.000 0.000 0.253
Pr 0.753 0.755 0.500
Pr 0.745 0.747 0.000
Pr 0.755 0.247 0.500
Pr 0.747 0.255 0.000
Pr 0.500 0.500 0.247
Pr 0.000 0.000 0.747
Pr 0.247 0.245 0.500
Pr 0.255 0.253 0.000
Pr 0.245 0.753 0.500
Pr 0.253 0.745 0.000
Pr 0.500 0.500 0.753
Bi 0.000 0.500 0.750
Bi 0.500 0.000 0.750
Bi 0.500 0.000 0.250
Bi 0.000 0.500 0.250
C 0.500 0.500 0.000
C 0.000 0.000 0.500
CELL_PARAMETERS angstrom
7.267 0.000 -0.191
0.000 7.270 0.000
0.271 0.000 10.231

B.
! Pr6Bi2C, relaxed, DFT PBE; values from VASP
! **Volume**: 31.806 Å³/atom
! **Crystal system**: monoclinic
! **Size of the total moment**: 0.01 μB per cell
! **Mass density**: 7.399 Mg/m³
&SYSTEM
  ibrav = 0, nat = 18, ntyp = 3
/
ATOMIC_SPECIES
Pr 140.91 Pr.upf
Bi 208.98 Bi.upf
C 12.01 C.upf
ATOMIC_POSITIONS crystal
Pr 0.893 0.973 0.254
Pr 0.864 0.716 0.543
Pr 0.831 0.664 0.963
Pr 0.669 0.164 0.537
Pr 0.636 0.216 0.957
Pr 0.607 0.473 0.246
Pr 0.107 0.027 0.746
Pr 0.136 0.284 0.457
Pr 0.169 0.336 0.037
Pr 0.331 0.836 0.463
Pr 0.364 0.784 0.043
Pr 0.393 0.527 0.754
Bi 0.921 0.397 0.741
Bi 0.579 0.897 0.759
Bi 0.421 0.103 0.241
Bi 0.079 0.603 0.259
C 0.500 0.500 0.000
C 0.000 0.000 0.500
CELL_PARAMETERS angstrom
6.650 0.000 0.159
0.000 8.378 0.000
-0.611 0.000 10.261

Decreasing stability: B, A

A.
! BiPt3C, relaxed, DFT PBE; values from VASP
! **Volume**: 16.441 Å³/atom
! **Crystal system**: cubic
! **Size of the total moment**: 0.00 μB per cell
! **Mass density**: 16.286 Mg/m³
&SYSTEM
  ibrav = 0, nat = 5, ntyp = 3
/
ATOMIC_SPECIES
C 12.01 C.upf
Bi 208.98 Bi.upf
Pt 195.08 Pt.upf
ATOMIC_POSITIONS crystal
C 0.000 0.000 0.000
Bi 0.500 0.500 0.500
Pt 0.000 0.500 0.000
Pt 0.000 0.000 0.500
Pt 0.500 0.000 0.000
CELL_PARAMETERS angstrom
4.348 0.000 0.000
0.000 4.348 0.000
0.000 0.000 4.348

B.
! BiPt3C, relaxed, DFT PBE; values from VASP
! **Volume**: 26.488 Å³/atom
! **Crystal system**: cubic
! **Size of the total moment**: 0.77 μB per cell
! **Mass density**: 10.109 Mg/m³
&SYSTEM
  ibrav = 0, nat = 5, ntyp = 3
/
ATOMIC_SPECIES
C 12.01 C.upf
Bi 208.98 Bi.upf
Pt 195.08 Pt.upf
ATOMIC_POSITIONS crystal
C 0.500 0.500 0.500
Bi 0.000 0.000 0.000
Pt 0.000 0.500 0.000
Pt 0.000 0.000 0.500
Pt 0.500 0.000 0.000
CELL_PARAMETERS angstrom
-0.150 -4.965 -1.145
2.976 0.845 -4.051
4.136 -0.788 2.874

Decreasing stability: A, B